No. 1
First-principles (PBE-GGA) data for crystalline NbFe2Pb at its relaxed geometry, as listed in OQMD via LeMat-Bulk.

Cell lengths 6.3882, 6.3882, 6.3882 Å; angles 90.00, 90.00, 90.00 degrees
Space group F-43m (No. 216)
Symmetry-distinct sites (fractional):
Nb 0.0000 0.0000 0.0000 (multiplicity 4)
Fe 0.0000 0.0000 0.5000 (multiplicity 4)
Fe 0.2500 0.2500 0.2500 (multiplicity 4)
Pb 0.2500 0.2500 0.7500 (multiplicity 4)

E_tot: -28.587 eV per formula unit
Crystal system: cubic



No. 2
First-principles (PBE-GGA) data for crystalline IrOs2Pt at its relaxed geometry, as listed in OQMD via LeMat-Bulk.

Cell lengths 6.2382, 6.2382, 6.2382 Å; angles 90.00, 90.00, 90.00 degrees
Space group F-43m (No. 216)
Symmetry-distinct sites (fractional):
Ir 0.0000 0.0000 0.0000 (multiplicity 4)
Os 0.0000 0.0000 0.5000 (multiplicity 4)
Os 0.2500 0.2500 0.2500 (multiplicity 4)
Pt 0.2500 0.2500 0.7500 (multiplicity 4)

Crystal system: cubic
Formation energy: 0.67 eV per atom



No. 3
First-principles (PBE-GGA) data for crystalline LuSnB at its relaxed geometry, as listed in OQMD via LeMat-Bulk.

Cell lengths 6.5342, 6.5342, 6.5342 Å; angles 90.00, 90.00, 90.00 degrees
Space group F-43m (No. 216)
Symmetry-distinct sites (fractional):
Lu 0.0000 0.0000 0.0000 (multiplicity 4)
Sn 0.2500 0.2500 0.7500 (multiplicity 4)
B 0.0000 0.0000 0.5000 (multiplicity 4)

E_tot: -12.212 eV per formula unit
Crystal system: cubic



No. 4
First-principles (PBE-GGA) data for crystalline Li2CuH6Pd at its relaxed geometry, as listed in OQMD via LeMat-Bulk.

Cell lengths 6.8098, 6.8098, 6.8098 Å; angles 90.00, 90.00, 90.00 degrees
Space group Fm-3m (No. 225)
Symmetry-distinct sites (fractional):
Li 0.2500 0.2500 0.2500 (multiplicity 8)
Cu 0.0000 0.0000 0.0000 (multiplicity 4)
H 0.0000 0.0000 0.2471 (multiplicity 24)
Pd 0.0000 0.0000 0.5000 (multiplicity 4)

E_tot: -34.692 eV per formula unit
Crystal system: cubic



No. 5
First-principles (PBE-GGA) data for crystalline CdAs at its relaxed geometry, as listed in OQMD via LeMat-Bulk.

Cell lengths 6.0882, 6.0882, 6.0882 Å; angles 90.00, 90.00, 90.00 degrees
Space group F-43m (No. 216)
Symmetry-distinct sites (fractional):
Cd 0.0000 0.0000 0.0000 (multiplicity 4)
As 0.2500 0.2500 0.2500 (multiplicity 4)

E_tot: -5.178 eV per formula unit
Crystal system: cubic



No. 6
First-principles (PBE-GGA) data for crystalline Li4GeAsPt2 at its relaxed geometry, as listed in OQMD via LeMat-Bulk.

Cell lengths 4.2712, 4.2712, 6.0701 Å; angles 90.00, 90.00, 90.00 degrees
Space group P-4m2 (No. 115)
Symmetry-distinct sites (fractional):
Li 0.0000 0.0000 0.0000 (multiplicity 1)
Li 0.0000 0.5000 0.7501 (multiplicity 2)
Li 0.5000 0.5000 0.5000 (multiplicity 1)
Ge 0.0000 0.0000 0.5000 (multiplicity 1)
As 0.5000 0.5000 0.0000 (multiplicity 1)
Pt 0.0000 0.5000 0.2568 (multiplicity 2)

E_tot: -34.189 eV per formula unit
Crystal system: tetragonal



Copy entry 4 word for word.
First-principles (PBE-GGA) data for crystalline Li2CuH6Pd at its relaxed geometry, as listed in OQMD via LeMat-Bulk.

Cell lengths 6.8098, 6.8098, 6.8098 Å; angles 90.00, 90.00, 90.00 degrees
Space group Fm-3m (No. 225)
Symmetry-distinct sites (fractional):
Li 0.2500 0.2500 0.2500 (multiplicity 8)
Cu 0.0000 0.0000 0.0000 (multiplicity 4)
H 0.0000 0.0000 0.2471 (multiplicity 24)
Pd 0.0000 0.0000 0.5000 (multiplicity 4)

E_tot: -34.692 eV per formula unit
Crystal system: cubic